No. 1
Entry from Alexandria: PmNd6N5 after structural relaxation (PBE-GGA).

Structure (POSCAR):
```
PmNd6N5
1.0
6.707 0.000 0.000
-3.354 5.809 0.000
0.000 0.000 12.725
N Nd Pm
10 12 2
direct
0.667 0.333 0.000 N
0.333 0.667 0.500 N
0.333 0.667 0.000 N
0.667 0.333 0.500 N
0.345 0.000 0.250 N
0.000 0.345 0.250 N
0.655 0.655 0.250 N
0.655 0.000 0.750 N
0.000 0.655 0.750 N
0.345 0.345 0.750 N
0.603 0.000 0.117 Nd
0.000 0.603 0.117 Nd
0.397 0.397 0.117 Nd
0.397 0.000 0.617 Nd
0.000 0.397 0.617 Nd
0.603 0.603 0.617 Nd
0.000 0.603 0.383 Nd
0.603 0.000 0.383 Nd
0.397 0.397 0.383 Nd
0.000 0.397 0.883 Nd
0.397 0.000 0.883 Nd
0.603 0.603 0.883 Nd
0.000 0.000 0.250 Pm
0.000 0.000 0.750 Pm
```

Values from the calculation:
Fermi-level density of states ... 0.5307 states/eV per atom
Energy relative to the elements, uncorrected ... -0.798 eV/atom
Calculated volume ... 20.7 Å³ per atom
SG ... No. 193


No. 2
Entry from Alexandria: PmNd2N3 after structural relaxation (PBE-GGA).

Structure (POSCAR):
```
PmNd2N3
1.0
5.145 -0.008 0.000
0.012 7.282 0.000
0.000 0.000 10.928
Pm Nd N
4 8 12
direct
0.250 0.874 0.083 Pm
0.250 0.374 0.417 Pm
0.750 0.626 0.583 Pm
0.750 0.126 0.917 Pm
0.250 0.874 0.750 Nd
0.250 0.374 0.750 Nd
0.250 0.873 0.417 Nd
0.250 0.373 0.083 Nd
0.750 0.627 0.917 Nd
0.750 0.127 0.583 Nd
0.750 0.626 0.250 Nd
0.750 0.126 0.250 Nd
0.250 0.627 0.583 N
0.250 0.127 0.917 N
0.250 0.632 0.918 N
0.250 0.132 0.582 N
0.250 0.630 0.249 N
0.250 0.130 0.251 N
0.750 0.870 0.749 N
0.750 0.370 0.751 N
0.750 0.868 0.418 N
0.750 0.368 0.082 N
0.750 0.873 0.083 N
0.750 0.373 0.417 N
```

Values from the calculation:
Fermi-level density of states ... 0.1000 states/eV per atom
Energy relative to the elements, uncorrected ... -1.384 eV/atom
Calculated volume ... 17.1 Å³ per atom
SG ... No. 62


No. 3
Entry from Alexandria: Pm2Nd3N4 after structural relaxation (PBE-GGA).

Structure (POSCAR):
```
Pm2Nd3N4
1.0
3.638 0.000 0.004
-1.819 3.151 -0.004
0.000 0.000 15.229
Pm Nd N
2 3 4
direct
0.667 0.333 0.811 Pm
0.333 0.667 0.189 Pm
0.666 0.334 0.380 Nd
0.000 0.000 0.000 Nd
0.334 0.666 0.620 Nd
0.334 0.666 0.899 N
0.999 0.001 0.300 N
0.001 0.999 0.700 N
0.666 0.334 0.101 N
```

Values from the calculation:
Fermi-level density of states ... 0.5362 states/eV per atom
Energy relative to the elements, uncorrected ... -1.244 eV/atom
Calculated volume ... 19.4 Å³ per atom
SG ... No. 12


No. 4
Entry from Alexandria: Pm5NdN4 after structural relaxation (PBE-GGA).

Structure (POSCAR):
```
Pm5NdN4
1.0
3.519 0.000 -0.774
0.175 7.404 0.794
-0.073 0.931 8.054
Pm Nd N
5 1 4
direct
0.835 0.850 0.670 Pm
0.841 0.305 0.681 Pm
0.159 0.695 0.319 Pm
0.500 0.500 0.000 Pm
0.165 0.150 0.330 Pm
0.500 0.000 0.000 Nd
0.332 0.084 0.663 N
0.002 0.745 0.005 N
0.668 0.916 0.337 N
0.998 0.255 0.995 N
```

Values from the calculation:
Fermi-level density of states ... 0.4500 states/eV per atom
Energy relative to the elements, uncorrected ... -1.116 eV/atom
Calculated volume ... 20.7 Å³ per atom
SG ... No. 12


No. 5
Entry from Alexandria: Pm2Nd4N after structural relaxation (PBE-GGA).

Structure (POSCAR):
```
Pm2Nd4N
1.0
5.009 0.000 0.000
0.000 5.009 0.000
-2.504 -2.504 8.940
N Nd Pm
1 4 2
direct
0.000 0.000 0.000 N
0.865 0.865 0.730 Nd
0.135 0.135 0.270 Nd
0.000 0.500 0.000 Nd
0.500 0.000 0.000 Nd
0.669 0.669 0.337 Pm
0.331 0.331 0.663 Pm
```

Values from the calculation:
Fermi-level density of states ... 1.1141 states/eV per atom
Energy relative to the elements, uncorrected ... -0.208 eV/atom
Calculated volume ... 32.0 Å³ per atom
SG ... No. 139


No. 6
Entry from Alexandria: Pm3Nd2N4 after structural relaxation (PBE-GGA).

Structure (POSCAR):
```
Pm3Nd2N4
1.0
-1.900 -3.039 -0.638
2.153 1.379 -2.592
11.589 -8.358 5.205
Pm Nd N
3 2 4
direct
0.666 0.334 0.380 Pm
0.000 0.000 0.000 Pm
0.334 0.666 0.620 Pm
0.667 0.333 0.811 Nd
0.333 0.667 0.189 Nd
0.334 0.666 0.901 N
0.999 0.001 0.304 N
0.001 0.999 0.696 N
0.666 0.334 0.099 N
```

Values from the calculation:
Fermi-level density of states ... 0.4435 states/eV per atom
Energy relative to the elements, uncorrected ... -1.252 eV/atom
Calculated volume ... 19.4 Å³ per atom
SG ... No. 12


No. 7
Entry from Alexandria: PmNd5N6 after structural relaxation (PBE-GGA).

Structure (POSCAR):
```
PmNd5N6
1.0
6.242 0.151 0.948
1.533 5.293 3.085
0.105 0.056 6.314
N Nd Pm
6 5 1
direct
0.751 0.083 0.332 N
0.249 0.585 0.332 N
0.249 0.249 0.000 N
0.751 0.751 0.000 N
0.751 0.415 0.668 N
0.249 0.917 0.668 N
0.500 0.166 0.667 Nd
0.000 0.333 0.333 Nd
0.500 0.500 0.000 Nd
0.000 0.667 0.667 Nd
0.500 0.834 0.333 Nd
0.000 0.000 0.000 Pm
```

Values from the calculation:
Fermi-level density of states ... 0.0591 states/eV per atom
Energy relative to the elements, uncorrected ... -1.373 eV/atom
Calculated volume ... 17.1 Å³ per atom
SG ... No. 12


No. 8
Entry from Alexandria: Pm2NdN2 after structural relaxation (PBE-GGA).

Structure (POSCAR):
```
Pm2NdN2
1.0
4.788 0.000 1.869
1.578 5.328 3.026
-0.400 0.332 8.094
Pm Nd N
4 2 4
direct
0.663 0.246 0.428 Pm
0.337 0.754 0.572 Pm
0.007 0.719 0.268 Pm
0.993 0.281 0.732 Pm
0.343 0.219 0.095 Nd
0.657 0.781 0.905 Nd
0.164 0.253 0.419 N
0.836 0.747 0.581 N
0.503 0.247 0.747 N
0.497 0.753 0.253 N
```

Values from the calculation:
Fermi-level density of states ... 0.7632 states/eV per atom
Energy relative to the elements, uncorrected ... -1.101 eV/atom
Calculated volume ... 20.7 Å³ per atom
SG ... No. 12